The following is a DFT calculation (PBE-GGA) of Pb3AuCl after structural relaxation.

Lattice parameters (Å, degrees): 5.486 5.486 5.486 90.00 90.00 90.00
Space group Pm-3m (No. 221)
One atom of each set of equivalent atoms:
Pb (0.000, 0.000, 0.500) [3 per cell]
Au (0.500, 0.500, 0.500) [1 per cell]
Cl (0.000, 0.000, 0.000) [1 per cell]

Summary:
Uncorrected formation energy, meV/atom: 403
E above lowest polymorph, eV/atom: 0.267

---

The following is a DFT calculation (PBE-GGA) of Pb2AuCl after structural relaxation.

Lattice parameters (Å, degrees): 13.938 3.553 4.728 90.00 109.60 90.00
Space group Cm (No. 8)
One atom of each set of equivalent atoms:
Pb (0.000, 0.000, 0.000) [2 per cell]
Pb (0.247, 0.500, 0.250) [2 per cell]
Au (0.432, 0.000, 0.432) [2 per cell]
Cl (0.203, 0.000, 0.705) [2 per cell]

Summary:
Uncorrected formation energy, meV/atom: -267
E above lowest polymorph, eV/atom: 0.107

---

Number 1: density 8.59 Mg/m³. Number 2: density 9.74 Mg/m³.